# Cs2AgF6

A geometry-optimized Cs2AgF6 structure (PBE-GGA, Alexandria). Values from VASP.

Quantum ESPRESSO input file:
```
&SYSTEM
  ibrav = 0, nat = 9, ntyp = 3
/
ATOMIC_SPECIES
Cs 132.91 Cs.upf
Ag 107.87 Ag.upf
F 19.00 F.upf
ATOMIC_POSITIONS crystal
Cs 0.750 0.750 0.750
Cs 0.250 0.250 0.250
Ag 0.000 0.000 0.000
F 0.220 0.780 0.780
F 0.780 0.220 0.780
F 0.220 0.780 0.220
F 0.780 0.220 0.220
F 0.220 0.220 0.780
F 0.780 0.780 0.220
CELL_PARAMETERS angstrom
-2.114 2.889 5.449
-5.989 2.567 0.216
-4.634 -2.835 3.605
```

- Calculated density: 4.1 g/cm³
- E_form (uncorrected): -1.8339 eV per atom
- Space group: No. 225
- Total magnetic moment: 1.0 μB/f.u.
- Crystal system: cubic